CaNbTl3: optimized geometry, PBE.

Unit cell a=5.4616 b=5.4616 c=5.4616 alpha=90.00 beta=90.00 gamma=90.00
Closest atoms and distances in Å follow each position.
Fractional coordinates of all 5 atoms:
Tl1 0.0000 0.5000 0.0000  2 Nb 2.73
Ca1 0.5000 0.5000 0.5000  12 Tl 3.86
Nb1 0.0000 0.0000 0.0000  6 Tl 2.73
Tl2 0.0000 0.0000 0.5000  2 Nb 2.73
Tl3 0.5000 0.0000 0.0000  2 Nb 2.73

Values from the calculation:
Its symmetry is Pm-3m (221). The energy above the most stable polymorph in this dataset is 0 meV per atom. The size of the total moment is 0.000 μB/atom. Its electronic total energy is -3.55 eV/atom.